No. 1
# K2LiCdF6 | OQMD via LeMat-Bulk | GGA-PBE | optimized geometry
data_K2LiCdF6
_chemical_formula_sum 'K4 Li2 Cd2 F12'
_cell_length_a 5.6782
_cell_length_b 5.6782
_cell_length_c 8.2583
_cell_angle_alpha 90.00
_cell_angle_beta 90.00
_cell_angle_gamma 90.00
_symmetry_space_group_name_H-M 'I 4/m'
_symmetry_Int_Tables_number 87
_symmetry_space_group_name_Hall '-I 4'
loop_
_atom_site_label
_atom_site_fract_x
_atom_site_fract_y
_atom_site_fract_z
K1 0.0000 0.5000 0.2500
Li1 0.0000 0.0000 0.0000
Cd1 0.0000 0.0000 0.5000
F1 0.0000 0.0000 0.2417
F2 0.2011 0.2759 0.0000
# Final energy (eV per atom): -3.957
# ΔE to the lowest computed polymorph (kJ/mol of formula units): 2

No. 2
# K2LiCdF6 | OQMD via LeMat-Bulk | GGA-PBE | optimized geometry
data_K2LiCdF6
_chemical_formula_sum 'K4 Li2 Cd2 F12'
_cell_length_a 5.7360
_cell_length_b 5.7109
_cell_length_c 9.9505
_cell_angle_alpha 90.00
_cell_angle_beta 125.18
_cell_angle_gamma 90.00
_symmetry_space_group_name_H-M 'P 1 21/c 1'
_symmetry_Int_Tables_number 14
loop_
_symmetry_equiv_pos_as_xyz
'x,y,z'
'-x,-y,-z'
'-x,y+1/2,-z+1/2'
'x,-y+1/2,z+1/2'
loop_
_atom_site_label
_atom_site_fract_x
_atom_site_fract_y
_atom_site_fract_z
K1 0.2489 0.0086 0.2495
Li1 0.0000 0.0000 0.5000
Cd1 0.5000 0.0000 0.0000
F1 0.2033 0.2388 0.9859
F2 0.2477 0.7170 0.9863
F3 0.2666 0.0016 0.7397
# Final energy (eV per atom): -3.958
# ΔE to the lowest computed polymorph (kJ/mol of formula units): 1

No. 3
# K2LiCdF6 | OQMD via LeMat-Bulk | GGA-PBE | optimized geometry
data_K2LiCdF6
_chemical_formula_sum 'K4 Li2 Cd2 F12'
_cell_length_a 5.7301
_cell_length_b 5.7343
_cell_length_c 8.1223
_cell_angle_alpha 90.02
_cell_angle_beta 90.00
_cell_angle_gamma 90.06
_symmetry_space_group_name_H-M 'P -1'
_symmetry_Int_Tables_number 2
loop_
_symmetry_equiv_pos_as_xyz
'x,y,z'
'-x,-y,-z'
loop_
_atom_site_label
_atom_site_fract_x
_atom_site_fract_y
_atom_site_fract_z
K1 0.0001 0.0001 0.2501
K2 0.5002 0.5004 0.2500
Li1 0.0000 0.5000 0.0000
Li2 0.5000 0.0000 0.5000
Cd1 0.0000 0.5000 0.5000
Cd2 0.5000 0.0000 0.0000
F1 0.0012 0.5001 0.2394
F2 0.2337 0.7431 0.9992
F3 0.2435 0.2648 0.9998
F4 0.2588 0.2368 0.5004
F5 0.2640 0.7585 0.5007
F6 0.4992 0.0002 0.2605
# Final energy (eV per atom): -3.959
# ΔE to the lowest computed polymorph (kJ/mol of formula units): 0